NaTi2RhPb: optimized geometry, PBE.

a b c (Å): 4.841 5.240 4.841
angles (deg): 90.00 90.00 90.00
Each line ends with the local moment (μB).
Fractional positions:
Ti  0.500  0.000  0.000  0.91
Ti  0.000  0.000  0.500  0.65
Rh  0.000  0.000  0.000  -0.01
Pb  0.000  0.500  0.000  -0.03
Na  0.500  0.500  0.500  0.01

SG   P4/mmm
ΔH_f (0 K)   180 kJ/mol of formula units

---

LaAlCu4: optimized geometry, PBE.

a b c (Å): 5.189 5.189 4.191
angles (deg): 90.00 90.00 118.15
Fractional positions:
Al  0.000  0.000  0.500
Cu  0.500  0.000  0.500
Cu  0.164  0.836  0.000
Cu  0.836  0.164  0.000
Cu  0.000  0.500  0.500
La  0.500  0.500  0.000

SG   Cmmm
ΔH_f (0 K)   -167 kJ/mol of formula units

---

Which of these has the highest ΔH_f (0 K)?
NaTi2RhPb